Model w:
The following is a DFT calculation (PBE) of a geometry-optimized BeCdGa3 structure.

Geometry as POSCAR:
```
BeCdGa3
1.0
5.1286 0.0000 0.0000
0.0000 5.1286 0.0000
0.0000 0.0000 5.1286
Be Cd Ga
1 1 3
Direct
0.0000 0.0000 0.0000
0.5000 0.5000 0.5000
0.0000 0.5000 0.5000
0.5000 0.0000 0.5000
0.5000 0.5000 0.0000
```

***

Model x:
The following is a DFT calculation (PBE) of a geometry-optimized BeCdGa3 structure.

Geometry as POSCAR:
```
BeCdGa3
1.0
4.5979 0.0000 0.0000
0.0000 4.5979 0.0000
0.0000 0.0000 4.5979
Be Cd Ga
1 1 3
Direct
0.0000 0.0000 0.0000
0.5000 0.5000 0.5000
0.0000 0.0000 0.5000
0.0000 0.5000 0.0000
0.5000 0.0000 0.0000
```

***

How do the energies compare? Relative to the most stable structure, in eV/atom: model w 0.742; model x 0.000.

***

Model w:
The following is a DFT calculation (PBE) of a geometry-optimized Be2Cd2Ga structure.

Geometry as POSCAR:
```
Be2Cd2Ga
1.0
7.8803 0.0000 0.0000
0.0000 7.8803 0.0000
0.0000 0.0000 2.7135
Be Cd Ga
4 4 2
Direct
0.1558 0.3442 0.0000
0.3442 0.8442 0.0000
0.6558 0.1558 0.0000
0.8442 0.6558 0.0000
0.1435 0.6435 0.5000
0.3565 0.1435 0.5000
0.6435 0.8565 0.5000
0.8565 0.3565 0.5000
0.0000 0.0000 0.5000
0.5000 0.5000 0.5000
```

***

Model x:
The following is a DFT calculation (PBE) of a geometry-optimized Be2Cd2Ga structure.

Geometry as POSCAR:
```
Be2Cd2Ga
1.0
-1.5438 1.5438 8.5883
1.5438 -1.5438 8.5883
1.5438 1.5438 -8.5883
Be Cd Ga
2 2 1
Direct
0.2500 0.7500 0.5000
0.7500 0.2500 0.5000
0.1225 0.1225 0.0000
0.8775 0.8775 0.0000
0.5000 0.5000 0.0000
```

***

How do the energies compare? Relative to the most stable structure, in eV/atom: model w 0.119; model x 0.000.

***

Model w:
The following is a DFT calculation (PBE) of a geometry-optimized BeCd2Ga2 structure.

Geometry as POSCAR:
```
BeCd2Ga2
1.0
6.7288 0.0000 0.0000
0.0000 6.7288 0.0000
0.0000 0.0000 4.4931
Be Cd Ga
2 4 4
Direct
0.0000 0.0000 0.0000
0.5000 0.5000 0.0000
0.1715 0.3285 0.0000
0.3285 0.8285 0.0000
0.6715 0.1715 0.0000
0.8285 0.6715 0.0000
0.1463 0.6463 0.5000
0.3537 0.1463 0.5000
0.6463 0.8537 0.5000
0.8537 0.3537 0.5000
```

***

Model x:
The following is a DFT calculation (PBE) of a geometry-optimized BeCd2Ga2 structure.

Geometry as POSCAR:
```
BeCd2Ga2
1.0
6.3704 0.0000 0.0000
0.0000 6.3704 0.0000
0.0000 0.0000 4.6815
Be Cd Ga
2 4 4
Direct
0.0000 0.0000 0.0000
0.5000 0.5000 0.0000
0.1715 0.3285 0.5000
0.3285 0.8285 0.5000
0.6715 0.1715 0.5000
0.8285 0.6715 0.5000
0.1497 0.6497 0.0000
0.3503 0.1497 0.0000
0.6497 0.8503 0.0000
0.8503 0.3503 0.0000
```

***

How do the energies compare? Relative to the most stable structure, in eV/atom: model w 0.130; model x 0.000.

***

Model w:
The following is a DFT calculation (PBE) of a geometry-optimized Gd2BeCd structure.

Geometry as POSCAR:
```
Gd2BeCd
1.0
3.5058 0.0000 0.0000
0.0000 3.5058 0.0000
0.0000 0.0000 7.6487
Gd Be Cd
2 1 1
Direct
0.0000 0.0000 0.2166
0.0000 0.0000 0.7834
0.5000 0.5000 0.0000
0.5000 0.5000 0.5000
```

***

Model x:
The following is a DFT calculation (PBE) of a geometry-optimized Gd2BeCd structure.

Geometry as POSCAR:
```
Gd2BeCd
1.0
0.0000 3.6379 3.6379
3.6379 0.0000 3.6379
3.6379 3.6379 0.0000
Gd Be Cd
2 1 1
Direct
0.2500 0.2500 0.2500
0.7500 0.7500 0.7500
0.0000 0.0000 0.0000
0.5000 0.5000 0.5000
```

***

How do the energies compare? Relative to the most stable structure, in eV/atom: model w 0.000; model x 0.075.

***

Model w:
The following is a DFT calculation (PBE) of a geometry-optimized BeCd3Ge structure.

Geometry as POSCAR:
```
BeCd3Ge
1.0
4.7344 0.0000 0.0000
0.0000 4.7344 0.0000
0.0000 0.0000 4.7344
Be Cd Ge
1 3 1
Direct
0.0000 0.0000 0.0000
0.0000 0.0000 0.5000
0.0000 0.5000 0.0000
0.5000 0.0000 0.0000
0.5000 0.5000 0.5000
```

***

Model x:
The following is a DFT calculation (PBE) of a geometry-optimized BeCd3Ge structure.

Geometry as POSCAR:
```
BeCd3Ge
1.0
5.2292 0.0000 0.0000
0.0000 5.2292 0.0000
0.0000 0.0000 5.2292
Be Cd Ge
1 3 1
Direct
0.0000 0.0000 0.0000
0.0000 0.5000 0.5000
0.5000 0.0000 0.5000
0.5000 0.5000 0.0000
0.5000 0.5000 0.5000
```

***

How do the energies compare? Relative to the most stable structure, in eV/atom: model w 0.000; model x 0.396.

***

Model w:
The following is a DFT calculation (PBE) of a geometry-optimized BeCdGe3 structure.

Geometry as POSCAR:
```
BeCdGe3
1.0
5.1283 0.0000 0.0000
0.0000 5.1283 0.0000
0.0000 0.0000 5.1283
Be Cd Ge
1 1 3
Direct
0.0000 0.0000 0.0000
0.5000 0.5000 0.5000
0.0000 0.5000 0.5000
0.5000 0.0000 0.5000
0.5000 0.5000 0.0000
```

***

Model x:
The following is a DFT calculation (PBE) of a geometry-optimized BeCdGe3 structure.

Geometry as POSCAR:
```
BeCdGe3
1.0
4.5970 0.0000 0.0000
0.0000 4.5970 0.0000
0.0000 0.0000 4.5970
Be Cd Ge
1 1 3
Direct
0.0000 0.0000 0.0000
0.5000 0.5000 0.5000
0.0000 0.0000 0.5000
0.0000 0.5000 0.0000
0.5000 0.0000 0.0000
```

***

How do the energies compare? Relative to the most stable structure, in eV/atom: model w 0.887; model x 0.000.

***

Model w:
The following is a DFT calculation (PBE) of a geometry-optimized Be3CdGe structure.

Geometry as POSCAR:
```
Be3CdGe
1.0
4.4421 0.0000 0.0000
0.0000 4.4421 0.0000
0.0000 0.0000 4.4421
Be Cd Ge
3 1 1
Direct
0.0000 0.0000 0.5000
0.0000 0.5000 0.0000
0.5000 0.0000 0.0000
0.0000 0.0000 0.0000
0.5000 0.5000 0.5000
```

***

Model x:
The following is a DFT calculation (PBE) of a geometry-optimized Be3CdGe structure.

Geometry as POSCAR:
```
Be3CdGe
1.0
4.3386 0.0000 0.0000
0.0000 4.3386 0.0000
0.0000 0.0000 4.3386
Be Cd Ge
3 1 1
Direct
0.0000 0.0000 0.5000
0.0000 0.5000 0.0000
0.5000 0.0000 0.0000
0.5000 0.5000 0.5000
0.0000 0.0000 0.0000
```

***

How do the energies compare? Relative to the most stable structure, in eV/atom: model w 0.318; model x 0.000.

***

Model w:
The following is a DFT calculation (PBE) of a geometry-optimized BeCd2Ge structure.

Geometry as POSCAR:
```
BeCd2Ge
1.0
0.0000 3.3634 3.3634
3.3634 0.0000 3.3634
3.3634 3.3634 0.0000
Be Cd Ge
1 2 1
Direct
0.0000 0.0000 0.0000
0.2500 0.2500 0.2500
0.7500 0.7500 0.7500
0.5000 0.5000 0.5000
```

***

Model x:
The following is a DFT calculation (PBE) of a geometry-optimized BeCd2Ge structure.

Geometry as POSCAR:
```
BeCd2Ge
1.0
-2.1073 2.1073 8.9108
2.1073 -2.1073 8.9108
2.1073 2.1073 -8.9108
Be Cd Ge
2 4 2
Direct
0.0000 0.0000 0.0000
0.7500 0.2500 0.5000
0.1008 0.6250 0.9758
0.3750 0.3508 0.4758
0.6492 0.1250 0.0242
0.8750 0.8992 0.5242
0.2500 0.7500 0.5000
0.5000 0.5000 0.0000
```

***

How do the energies compare? Relative to the most stable structure, in eV/atom: model w 0.055; model x 0.000.

***

Model w:
The following is a DFT calculation (PBE) of a geometry-optimized BeCd2Ge2 structure.

Geometry as POSCAR:
```
BeCd2Ge2
1.0
6.0586 0.0000 0.0000
0.0000 6.0586 0.0000
0.0000 0.0000 5.3287
Be Cd Ge
2 4 4
Direct
0.0000 0.0000 0.0000
0.5000 0.5000 0.0000
0.1852 0.3148 0.5000
0.3148 0.8148 0.5000
0.6852 0.1852 0.5000
0.8148 0.6852 0.5000
0.1503 0.6503 0.0000
0.3497 0.1503 0.0000
0.6503 0.8497 0.0000
0.8497 0.3497 0.0000
```

***

Model x:
The following is a DFT calculation (PBE) of a geometry-optimized BeCd2Ge2 structure.

Geometry as POSCAR:
```
BeCd2Ge2
1.0
6.7384 0.0000 0.0000
0.0000 6.7384 0.0000
0.0000 0.0000 4.4962
Be Cd Ge
2 4 4
Direct
0.0000 0.0000 0.0000
0.5000 0.5000 0.0000
0.1642 0.3358 0.0000
0.3358 0.8358 0.0000
0.6642 0.1642 0.0000
0.8358 0.6642 0.0000
0.1476 0.6476 0.5000
0.3524 0.1476 0.5000
0.6476 0.8524 0.5000
0.8524 0.3524 0.5000
```

***

How do the energies compare? Relative to the most stable structure, in eV/atom: model w 0.000; model x 0.251.

***

Model w:
The following is a DFT calculation (PBE) of a geometry-optimized BeCdH2 structure.

Geometry as POSCAR:
```
BeCdH2
1.0
0.0000 3.5715 3.5715
3.5715 0.0000 3.5715
3.5715 3.5715 0.0000
Be Cd H
2 2 4
Direct
0.1250 0.1250 0.1250
0.8750 0.8750 0.8750
0.3750 0.3750 0.3750
0.6250 0.6250 0.6250
0.0000 0.0000 0.0000
0.0000 0.0000 0.5000
0.0000 0.5000 0.0000
0.5000 0.0000 0.0000
```

***

Model x:
The following is a DFT calculation (PBE) of a geometry-optimized BeCdH2 structure.

Geometry as POSCAR:
```
BeCdH2
1.0
0.0000 2.7072 2.7072
2.7072 0.0000 2.7072
2.7072 2.7072 0.0000
Be Cd H
1 1 2
Direct
0.0000 0.0000 0.0000
0.5000 0.5000 0.5000
0.2500 0.2500 0.2500
0.7500 0.7500 0.7500
```

***

How do the energies compare? Relative to the most stable structure, in eV/atom: model w 0.000; model x 0.666.

***

Model w:
The following is a DFT calculation (PBE) of a geometry-optimized BeCd2H2 structure.

Geometry as POSCAR:
```
BeCd2H2
1.0
-1.5393 1.5393 6.4319
1.5393 -1.5393 6.4319
1.5393 1.5393 -6.4319
Be Cd H
1 2 2
Direct
0.0000 0.0000 0.0000
0.3699 0.3699 0.0000
0.6301 0.6301 0.0000
0.2500 0.7500 0.5000
0.7500 0.2500 0.5000
```

***

Model x:
The following is a DFT calculation (PBE) of a geometry-optimized BeCd2H2 structure.

Geometry as POSCAR:
```
BeCd2H2
1.0
6.6252 0.0000 0.0000
0.0000 6.6252 0.0000
0.0000 0.0000 3.7566
Be Cd H
2 4 4
Direct
0.0000 0.0000 0.0000
0.5000 0.5000 0.0000
0.1825 0.3175 0.0000
0.3175 0.8175 0.0000
0.6825 0.1825 0.0000
0.8175 0.6825 0.0000
0.1619 0.3381 0.5000
0.3381 0.8381 0.5000
0.6619 0.1619 0.5000
0.8381 0.6619 0.5000
```

***

How do the energies compare? Relative to the most stable structure, in eV/atom: model w 0.000; model x 0.082.

***

Model w:
The following is a DFT calculation (PBE) of a geometry-optimized Be2CdH structure.

Geometry as POSCAR:
```
Be2CdH
1.0
0.0000 2.8370 2.8370
2.8370 0.0000 2.8370
2.8370 2.8370 0.0000
Be Cd H
2 1 1
Direct
0.2500 0.2500 0.2500
0.7500 0.7500 0.7500
0.0000 0.0000 0.0000
0.5000 0.5000 0.5000
```

***

Model x:
The following is a DFT calculation (PBE) of a geometry-optimized Be2CdH structure.

Geometry as POSCAR:
```
Be2CdH
1.0
-2.2375 2.2375 4.3565
2.2375 -2.2375 4.3565
2.2375 2.2375 -4.3565
Be Cd H
4 2 2
Direct
0.0000 0.0000 0.0000
0.0000 0.0000 0.5000
0.0000 0.5000 0.0000
0.5000 0.0000 0.5000
0.3750 0.6250 0.7500
0.6250 0.3750 0.2500
0.1250 0.8750 0.2500
0.8750 0.1250 0.7500
```

***

How do the energies compare? Relative to the most stable structure, in eV/atom: model w 0.524; model x 0.000.